An optimized crystal structure of TaMoF2. Source: Alexandria via LeMat-Bulk, functional PBE+U.

Geometry as extended XYZ:
```
4
Lattice="0.000 3.092 3.092 3.092 0.000 3.092 3.092 3.092 0.000" Properties=species:S:1:pos:R:3 pbc="T T T"
Ta 0.000 0.000 0.000
Mo 3.092 3.092 3.092
F 1.546 1.546 1.546
F 4.638 4.638 4.638
```

Computed properties:
spin magnetization: 0.7040 μB per atom
SG: Fm-3m
mass density: 8.8 g/cm³
polymorph energy (0 for the lowest one): 735.7 meV per atom
calculated total energy: -5.612 eV per atom
V: 59.1 Å³/f.u.